(1)
The following is a PBE-GGA calculation of a relaxed structure of V3GaH, from Alexandria via LeMat-Bulk.

Calculated values
**Final energy**: -6.784 eV per atom

Lattice parameters (Å, degrees): 9.066 6.492 6.492 89.44 122.88 57.12
Element x y z (fractional)
H 0.287 0.160 0.454
H 0.213 0.954 0.660
H 0.713 0.840 0.546
H 0.787 0.046 0.340
Ga 0.750 0.260 0.760
Ga 0.250 0.740 0.240
Ga 0.750 0.585 0.085
Ga 0.250 0.415 0.915
V 0.450 0.214 0.426
V 0.050 0.926 0.714
V 0.550 0.786 0.574
V 0.950 0.074 0.286
V 0.097 0.249 0.073
V 0.403 0.573 0.749
V 0.903 0.751 0.927
V 0.597 0.427 0.251
V 0.626 0.068 0.977
V 0.874 0.477 0.568
V 0.374 0.932 0.023
V 0.126 0.523 0.432

(2)
The following is a PBE-GGA calculation of a relaxed structure of V4Ga3H, from Alexandria via LeMat-Bulk.

Calculated values
**Final energy**: -6.169 eV per atom

Lattice parameters (Å, degrees): 5.466 5.466 5.466 83.52 123.96 123.66
Element x y z (fractional)
V 0.123 0.729 0.852
V 0.123 0.271 0.395
V 0.592 0.238 0.353
V 0.115 0.762 0.353
Ga 0.612 0.266 0.878
Ga 0.867 0.000 0.867
Ga 0.612 0.734 0.345
H 0.107 0.500 0.607

(3)
The following is a PBE-GGA calculation of a relaxed structure of V3GaH, from Alexandria via LeMat-Bulk.

Calculated values
**Final energy**: -6.688 eV per atom

Lattice parameters (Å, degrees): 4.922 6.946 7.115 90.00 90.00 90.00
Element x y z (fractional)
H 0.500 0.250 0.555
H 0.000 0.750 0.055
H 0.500 0.750 0.445
H 0.000 0.250 0.945
Ga 0.000 0.000 0.500
Ga 0.500 0.500 0.000
Ga 0.500 0.000 0.000
Ga 0.000 0.500 0.500
V 0.000 0.922 0.855
V 0.500 0.422 0.355
V 0.500 0.078 0.355
V 0.000 0.422 0.145
V 0.000 0.078 0.145
V 0.500 0.578 0.645
V 0.500 0.922 0.645
V 0.000 0.578 0.855
V 0.250 0.250 0.750
V 0.250 0.750 0.250
V 0.750 0.750 0.250
V 0.750 0.250 0.750

(4)
The following is a PBE-GGA calculation of a relaxed structure of V8Ga2H, from Alexandria via LeMat-Bulk.

Calculated values
**Final energy**: -7.524 eV per atom

Lattice parameters (Å, degrees): 4.171 5.117 7.416 111.93 106.33 90.00
Element x y z (fractional)
V 0.412 0.524 0.823
V 0.619 0.007 0.237
V 0.785 0.674 0.571
V 0.003 0.247 0.006
V 0.215 0.326 0.429
V 0.381 0.993 0.763
V 0.588 0.476 0.177
V 0.997 0.753 0.994
Ga 0.821 0.228 0.642
Ga 0.179 0.772 0.358
H 0.500 0.000 0.000

(5)
The following is a PBE-GGA calculation of a relaxed structure of V6GaH6, from Alexandria via LeMat-Bulk.

Calculated values
**Final energy**: -5.846 eV per atom

Lattice parameters (Å, degrees): 4.422 4.422 6.982 90.00 90.00 120.00
Element x y z (fractional)
V 0.000 0.000 0.663
V 0.000 0.000 0.337
V 0.333 0.667 0.000
V 0.667 0.333 0.000
V 0.333 0.667 0.500
V 0.667 0.333 0.500
Ga 0.000 0.000 0.000
H 0.000 0.500 0.698
H 0.500 0.000 0.698
H 0.500 0.500 0.698
H 0.500 0.000 0.302
H 0.000 0.500 0.302
H 0.500 0.500 0.302

(6)
The following is a PBE-GGA calculation of a relaxed structure of V3GaH, from Alexandria via LeMat-Bulk.

Calculated values
**Final energy**: -6.936 eV per atom

Lattice parameters (Å, degrees): 5.338 4.398 4.934 90.00 82.90 90.00
Element x y z (fractional)
H 0.336 0.925 0.573
H 0.665 0.426 0.684
Ga 0.788 0.061 0.272
Ga 0.214 0.561 0.984
V 0.953 0.562 0.505
V 0.297 0.067 0.250
V 0.705 0.567 0.007
V 0.048 0.062 0.751
V 0.557 0.057 0.788
V 0.444 0.557 0.468